ScAl2Rh GGA-PBE relaxed; DFT formation energy = -0.62 eV per atom
1.0
3.019 0.000 0.000
0.000 4.378 0.000
-1.044 0.000 5.081
Sc Al Rh
1 2 1
Direct
0.000 0.000 0.000 Sc
0.368 0.500 0.734 Al
0.632 0.500 0.266 Al
0.500 0.000 0.500 Rh

=====

Mg2CdSe GGA-PBE relaxed; uncorrected formation energy = -0.40 eV per atom; excess energy over the best structure of this formula in the dataset = 0.090 eV per atom
1.0
3.813 0.000 0.000
0.000 3.911 0.000
-1.796 0.000 6.297
Mg Cd Se
2 1 1
Direct
0.000 0.000 0.000 Mg
0.332 0.500 0.616 Mg
0.765 0.000 0.474 Cd
0.518 0.500 0.039 Se

=====

TaInCo2 GGA-PBE relaxed; DFT formation energy = 0.12 eV per atom
1.0
-1.849 1.849 4.292
1.849 -1.849 4.292
1.849 1.849 -4.292
Ta In Co
1 1 2
Direct
0.000 0.000 0.000 Ta
0.750 0.250 0.500 In
0.250 0.750 0.500 Co
0.500 0.500 0.000 Co

=====

LiSiTc2 GGA-PBE relaxed; uncorrected formation energy = 0.08 eV per atom
1.0
1.520 -2.207 0.000
1.520 2.207 0.000
0.000 0.000 8.453
Li Si Tc
1 1 2
Direct
0.000 0.000 0.000 Li
0.000 0.000 0.500 Si
0.500 0.500 0.271 Tc
0.500 0.500 0.729 Tc

=====

Li2WC GGA-PBE relaxed; DFT formation energy = 0.79 eV per atom
1.0
-3.362 3.362 2.088
3.362 -3.362 2.088
3.362 3.362 -2.088
Li W C
4 2 2
Direct
0.048 0.625 0.923 Li
0.375 0.298 0.423 Li
0.702 0.125 0.077 Li
0.875 0.952 0.577 Li
0.250 0.750 0.500 W
0.500 0.500 0.000 W
0.000 0.000 0.000 C
0.750 0.250 0.500 C

=====

TaMoOs2 GGA-PBE relaxed; excess energy over the best structure of this formula in the dataset = 0.001 eV per atom; DFT formation energy = -0.03 eV per atom
1.0
2.836 -3.840 0.000
2.836 3.840 0.000
0.000 0.000 2.874
Ta Mo Os
1 1 2
Direct
0.000 0.000 0.000 Ta
0.500 0.500 0.000 Mo
0.000 0.500 0.500 Os
0.500 0.000 0.500 Os

=====

BaSr3Cd GGA-PBE relaxed; excess energy over the best structure of this formula in the dataset = 0.912 eV per atom; DFT formation energy = 0.80 eV per atom
1.0
6.870 0.000 0.000
0.000 6.870 0.000
0.000 0.000 6.870
Ba Sr Cd
1 3 1
Direct
0.000 0.000 0.000 Ba
0.000 0.000 0.500 Sr
0.000 0.500 0.000 Sr
0.500 0.000 0.000 Sr
0.500 0.500 0.500 Cd

=====

CdPd4Au7 GGA-PBE relaxed; DFT formation energy = 0.08 eV per atom
1.0
5.223 -2.539 0.000
5.223 2.539 0.000
-5.172 0.000 8.580
Cd Pd Au
1 4 7
Direct
0.000 0.000 0.000 Cd
0.192 0.192 0.771 Pd
0.413 0.413 0.686 Pd
0.587 0.587 0.314 Pd
0.808 0.808 0.229 Pd
0.110 0.110 0.452 Au
0.289 0.289 0.084 Au
0.338 0.338 0.379 Au
0.500 0.500 0.000 Au
0.662 0.662 0.621 Au
0.711 0.711 0.916 Au
0.890 0.890 0.548 Au

=====

Calculated values (μB per cell) of total moment for the records, taken in order: 0.00, 0.00, 0.00, 0.00, 0.00, 0.00, 3.47, 0.00.